Density functional theory data (PBE) for crystalline Er2CrWN5 at its relaxed geometry.

## Properties
Space group = Cmc2_1, No. 36
Energy relative to the elements, uncorrected = -994 meV per atom

a b c (Å): 3.168 6.611 10.061
angles (deg): 90.00 90.00 103.86
Atoms (fractional coordinates):
Er 0.144 0.288 0.294
Er 0.856 0.712 0.794
Er 0.107 0.214 0.699
Er 0.893 0.786 0.199
N 0.633 0.265 0.500
N 0.489 0.979 0.786
N 0.367 0.735 0.000
N 0.681 0.362 0.874
N 0.319 0.638 0.374
N 0.511 0.021 0.286
N 0.283 0.565 0.650
N 0.045 0.090 0.047
N 0.717 0.435 0.150
N 0.955 0.910 0.547
W 0.782 0.565 0.511
W 0.218 0.435 0.011
Cr 0.479 0.959 0.462
Cr 0.521 0.041 0.962

=====

Density functional theory data (PBE) for crystalline Sr2Pt at its relaxed geometry.

## Properties
Formation energy from the elements = 0.6017 eV per atom
Space group = Fd-3m, No. 227

a b c (Å): 6.354 6.354 6.354
angles (deg): 60.00 60.00 60.00
Atoms (fractional coordinates):
Sr 0.125 0.125 0.125
Sr 0.125 0.625 0.125
Sr 0.625 0.125 0.125
Sr 0.125 0.125 0.625
Pt 0.500 0.500 0.500
Pt 0.750 0.750 0.750

=====

Density functional theory data (PBE) for crystalline Nd2Si4Ir3Au at its relaxed geometry.

## Properties
Space group = P-4m2, No. 115
Energy relative to the elements, uncorrected = -885 meV per atom

a b c (Å): 4.245 4.245 9.961
angles (deg): 90.00 90.00 90.00
Atoms (fractional coordinates):
Ir 0.000 0.000 0.500
Ir 0.500 0.000 0.878
Ir 0.000 0.500 0.122
Au 0.500 0.500 0.500
Nd 0.000 0.500 0.761
Nd 0.500 0.000 0.239
Si 0.000 0.000 0.000
Si 0.000 0.500 0.361
Si 0.500 0.000 0.639
Si 0.500 0.500 0.000

=====

Mass density in Mg/m³, matching the order above: 10.40 6.78 10.86